Record 1
# KBPd3 | the Alexandria database | SCAN | single point on PBEsol structure
data_KBPd3
_symmetry_space_group_name_H-M 'P m -3 m'
_symmetry_Int_Tables_number 221
_symmetry_space_group_name_Hall '-P 4 2 3'
_cell_length_a 4.7924
_cell_length_b 4.7924
_cell_length_c 4.7924
_cell_angle_alpha 90.00
_cell_angle_beta 90.00
_cell_angle_gamma 90.00
loop_
_atom_site_label
_atom_site_type_symbol
_atom_site_fract_x
_atom_site_fract_y
_atom_site_fract_z
_atom_site_occupancy
K1 K 0.0000 0.0000 0.0000 1
B1 B 0.5000 0.5000 0.5000 1
Pd1 Pd 0.0000 0.0000 0.5000 1
# ΔH_f (0 K), eV per formula unit: 11.65
# Uncorrected energy, eV per formula unit: -102.428
# Total magnetic moment, μB per atom: 0.00

Record 2
# SrYSc2 | the Alexandria database | SCAN | single point on PBEsol structure
data_SrYSc2
_symmetry_space_group_name_H-M 'P 1 m 1'
_symmetry_Int_Tables_number 6
_cell_length_a 3.4245
_cell_length_b 5.3164
_cell_length_c 6.8687
_cell_angle_alpha 90.00
_cell_angle_beta 104.37
_cell_angle_gamma 90.00
loop_
_symmetry_equiv_pos_as_xyz
'x,y,z'
'x,-y,z'
loop_
_atom_site_label
_atom_site_type_symbol
_atom_site_fract_x
_atom_site_fract_y
_atom_site_fract_z
_atom_site_occupancy
Sr1 Sr 0.0000 0.0000 0.0000 1
Y1 Y 0.6668 0.5000 0.3300 1
Sc1 Sc 0.2612 0.0000 0.5202 1
Sc2 Sc 0.3780 0.5000 0.7534 1
# ΔH_f (0 K), eV per formula unit: 1.02
# Uncorrected energy, eV per formula unit: -77.572
# Total magnetic moment, μB per atom: 0.46

Ρ, respectively: 5.57 3.65 g/cm3.